7
Lattice="4.670 0.000 0.000 2.335 4.045 0.000 2.335 1.348 8.245" Properties=species:S:1:pos:R:3 comment="TmSc2Zn2Sn2 | Alexandria via LeMat-Bulk | PBE | relaxed" total_energy_ev_per_atom=-4.276 delta_e_f_ev_per_atom=-0.320 pbc="T T T"
Tm 0.000 0.000 0.000
Sc 2.335 1.348 4.907
Sc 7.005 4.045 3.338
Zn 4.670 2.696 2.694
Zn 4.670 2.696 5.551
Sn 7.005 4.045 6.536
Sn 2.335 1.348 1.709